1.
Entry from the Alexandria database: an optimized crystal structure of YTc2Ir (PBE-GGA).

Unit cell a=3.050 b=3.050 c=7.527 alpha=90.00 beta=90.00 gamma=90.00
Sites, in units of the cell vectors:
1 Y 0.000 0.000 0.000
2 Tc 0.000 0.000 0.512
3 Tc 0.500 0.500 0.697
4 Ir 0.500 0.500 0.279

Properties
* DFT total energy: -9.03 eV per atom
* DFT formation energy: -0.014 eV per atom
* magnetization: 0.000 μB/f.u.
* mass density: 11.3 g/cm³

***

2.
Entry from the Alexandria database: an optimized crystal structure of YTc2Ir2 (PBE-GGA).

Unit cell a=7.733 b=7.733 c=2.804 alpha=90.00 beta=90.00 gamma=90.00
Sites, in units of the cell vectors:
1 Y 0.000 0.000 0.000
2 Y 0.500 0.500 0.000
3 Tc 0.119 0.381 0.000
4 Tc 0.381 0.881 0.000
5 Tc 0.619 0.119 0.000
6 Tc 0.881 0.619 0.000
7 Ir 0.174 0.674 0.500
8 Ir 0.326 0.174 0.500
9 Ir 0.674 0.826 0.500
10 Ir 0.826 0.326 0.500

Properties
* DFT total energy: -9.18 eV per atom
* DFT formation energy: -0.194 eV per atom
* magnetization: 0.000 μB/f.u.
* mass density: 13.3 g/cm³

***

3.
Entry from the Alexandria database: an optimized crystal structure of YTc2Ir (PBE-GGA).

Unit cell a=3.027 b=4.854 c=4.789 alpha=90.00 beta=95.98 gamma=90.00
Sites, in units of the cell vectors:
1 Y 0.000 0.000 0.000
2 Tc 0.328 0.500 0.746
3 Tc 0.672 0.500 0.254
4 Ir 0.500 0.000 0.500

Properties
* DFT total energy: -8.81 eV per atom
* DFT formation energy: 0.203 eV per atom
* magnetization: 0.001 μB/f.u.
* mass density: 11.3 g/cm³

***

4.
Entry from the Alexandria database: an optimized crystal structure of Y2TcIr2 (PBE-GGA).

Unit cell a=6.735 b=6.735 c=4.483 alpha=90.00 beta=90.00 gamma=90.00
Sites, in units of the cell vectors:
1 Y 0.178 0.322 0.000
2 Y 0.322 0.822 0.000
3 Y 0.678 0.178 0.000
4 Y 0.822 0.678 0.000
5 Tc 0.000 0.000 0.500
6 Tc 0.500 0.500 0.500
7 Ir 0.137 0.637 0.500
8 Ir 0.363 0.137 0.500
9 Ir 0.637 0.863 0.500
10 Ir 0.863 0.363 0.500

Properties
* DFT total energy: -8.63 eV per atom
* DFT formation energy: -0.429 eV per atom
* magnetization: 0.000 μB/f.u.
* mass density: 10.8 g/cm³

***

Q: Number 4 is which compound?
A: Y2TcIr2